PrMg4Ni2 | PBE-GGA | relaxed

```
7
Lattice="-0.9945 3.9430 -1.0733 -1.0224 -1.3145 -3.8818 -7.0473 -0.5920 4.3547" Properties=species:S:1:pos:R:3 pbc="T T T"
Mg -4.9280 -0.8145 1.5737
Mg -3.1311 1.5362 0.3045
Mg -3.1417 -1.0920 -1.1008
Mg -5.9330 0.5003 -0.9049
Ni -6.9542 0.9043 1.5254
Ni -2.1099 1.1322 -2.1258
Pr 0.0000 0.0000 0.0000
```

Output
* E_form: -143 meV/atom
* total magnetic moment: 0.0 Bohr magnetons per cell
* distance to the lowest polymorph of the same formula: 14 meV/atom
* theoretical density: 4137 kg/m3
* crystal system: orthorhombic